DFT (GGA-PBE) results for B3IrI after structural relaxation.

Structure (POSCAR):
```
B3IrI
1.0
-3.822 0.449 -1.883
1.532 -1.845 -3.550
-1.183 -3.840 1.485
I B Ir
1 3 1
Direct
0.500 0.500 0.500
0.000 0.500 0.000
0.000 0.000 0.500
0.500 0.000 0.000
0.000 0.000 0.000
```

Density of states at the Fermi level: 5.16 states/eV/f.u.
Formation energy from raw total energies: 1055 meV per atom



DFT (GGA-PBE) results for Nb3V2Mo6 after structural relaxation.

Structure (POSCAR):
```
Nb3V2Mo6
1.0
4.705 -0.001 -0.596
-0.040 2.562 -0.322
-0.522 0.576 15.010
Nb V Mo
3 2 6
Direct
0.000 0.000 0.000
0.817 0.817 0.634
0.183 0.183 0.366
0.457 0.458 0.915
0.543 0.542 0.085
0.630 0.131 0.261
0.091 0.591 0.182
0.370 0.869 0.739
0.909 0.409 0.818
0.723 0.723 0.446
0.277 0.277 0.554
```

Density of states at the Fermi level: 12.89 states/eV/f.u.
Calculated formation energy: 0.296 eV/atom